Entry 1:
## Tb2Sm4ErSc (PBE)

Data for crystalline Tb2Sm4ErSc at its relaxed geometry.

The formation energy from the elements comes out at 21 kJ/mol of formula units. For the density of states at the Fermi level, the calculation gives 11.243 states/eV per cell. The total moment comes out at 0.00 μB/atom.

It has space group P4/mmm (No. 123), with a = 5.046 Å, b = 5.046 Å, c = 9.931 Å, α = 90.00°, β = 90.00° and γ = 90.00°. The asymmetric unit holds Tb at (0.000, 0.000, 0.000), Tb at (0.500, 0.500, 0.500), Sm at (0.000, 0.500, 0.245), Er at (0.000, 0.000, 0.500) and Sc at (0.500, 0.500, 0.000).



Entry 2:
## TbSmEr2Sc (PBE)

Data for crystalline TbSmEr2Sc at its relaxed geometry.

The formation energy from the elements comes out at 161 kJ/mol of formula units. For the density of states at the Fermi level, the calculation gives 24.064 states/eV per cell. The total moment comes out at 0.00 μB/atom.

It has space group Cmcm (No. 63), with a = 8.159 Å, b = 11.198 Å, c = 7.060 Å, α = 90.00°, β = 90.00° and γ = 90.00°. The asymmetric unit holds Tb at (0.000, 0.232, 0.250), Sm at (0.000, 0.230, 0.750), Er at (0.197, 0.000, 0.000) and Sc at (0.000, 0.497, 0.750).



Entry 3:
## Tb2Sm2ErSc (PBE)

Data for crystalline Tb2Sm2ErSc at its relaxed geometry.

The formation energy from the elements comes out at 54 kJ/mol of formula units. For the density of states at the Fermi level, the calculation gives 19.240 states/eV per cell. The total moment comes out at 0.00 μB/atom.

It has space group Pmma (No. 51), with a = 6.861 Å, b = 5.578 Å, c = 9.648 Å, α = 90.00°, β = 90.00° and γ = 90.00°. The asymmetric unit holds Tb at (0.250, 0.000, 0.163), Tb at (0.250, 0.500, 0.669), Sm at (0.000, 0.500, 0.000), Sm at (0.250, 0.000, 0.815), Er at (0.250, 0.500, 0.347) and Sc at (0.000, 0.000, 0.500).



Entry 4:
## TbSm2ErSc (PBE)

Data for crystalline TbSm2ErSc at its relaxed geometry.

The formation energy from the elements comes out at 114 kJ/mol of formula units. For the density of states at the Fermi level, the calculation gives 12.883 states/eV per cell. The total moment comes out at 0.00 μB/atom.

It has space group Pmma (No. 51), with a = 6.173 Å, b = 7.858 Å, c = 6.466 Å, α = 90.00°, β = 90.00° and γ = 90.00°. The asymmetric unit holds Tb at (0.250, 0.000, 0.092), Sm at (0.250, 0.295, 0.782), Er at (0.250, 0.500, 0.306) and Sc at (0.000, 0.000, 0.500).



Entry 5:
## TbSm2Er2Sc2 (PBE)

Data for crystalline TbSm2Er2Sc2 at its relaxed geometry.

The formation energy from the elements comes out at 73 kJ/mol of formula units. For the density of states at the Fermi level, the calculation gives 24.793 states/eV per cell. The total moment comes out at 0.00 μB/atom.

It has space group C2/m (No. 12), with a = 11.327 Å, b = 3.422 Å, c = 11.542 Å, α = 90.00°, β = 108.72° and γ = 90.00°. The asymmetric unit holds Tb at (0.000, 0.000, 0.000), Sm at (0.172, 0.500, 0.589), Er at (0.046, 0.500, 0.268) and Sc at (0.228, 0.000, 0.868).



Entry 6:
## Tb2SmErSc4 (PBE)

Data for crystalline Tb2SmErSc4 at its relaxed geometry.

The formation energy from the elements comes out at 46 kJ/mol of formula units. For the density of states at the Fermi level, the calculation gives 11.345 states/eV per cell. The total moment comes out at 0.00 μB/atom.

It has space group P2/m (No. 10), with a = 5.937 Å, b = 3.431 Å, c = 11.155 Å, α = 90.00°, β = 100.23° and γ = 90.00°. The asymmetric unit holds Tb at (0.000, 0.000, 0.000), Tb at (0.000, 0.500, 0.500), Sm at (0.500, 0.000, 0.500), Er at (0.500, 0.500, 0.000), Sc at (0.250, 0.000, 0.751) and Sc at (0.250, 0.500, 0.249).



Entry 7:
## TbSm2ErSc4 (PBE)

Data for crystalline TbSm2ErSc4 at its relaxed geometry.

The formation energy from the elements comes out at 47 kJ/mol of formula units. For the density of states at the Fermi level, the calculation gives 10.976 states/eV per cell. The total moment comes out at 0.00 μB/atom.

It has space group P2/m (No. 10), with a = 5.953 Å, b = 3.438 Å, c = 11.169 Å, α = 90.00°, β = 100.17° and γ = 90.00°. The asymmetric unit holds Tb at (0.000, 0.000, 0.000), Sm at (0.500, 0.000, 0.500), Sm at (0.500, 0.500, 0.000), Er at (0.000, 0.500, 0.500), Sc at (0.248, 0.000, 0.749) and Sc at (0.250, 0.500, 0.251).



Entry 8:
## Tb5SmErSc2 (PBE)

Data for crystalline Tb5SmErSc2 at its relaxed geometry.

The formation energy from the elements comes out at 144 kJ/mol of formula units. For the density of states at the Fermi level, the calculation gives 54.234 states/eV per cell. The total moment comes out at 0.00 μB/atom.

It has space group Cmc2_1 (No. 36), with a = 5.602 Å, b = 21.484 Å, c = 9.346 Å, α = 90.00°, β = 90.00° and γ = 90.00°. The asymmetric unit holds Tb at (0.000, 0.011, 0.000), Tb at (0.000, 0.266, 0.320), Tb at (0.000, 0.306, 0.706), Tb at (0.000, 0.392, 0.035), Tb at (0.000, 0.468, 0.736), Sm at (0.000, 0.184, 0.006), Er at (0.000, 0.402, 0.408), Sc at (0.000, 0.114, 0.314) and Sc at (0.000, 0.135, 0.690).



Entry 9:
## Sm2ErScTe4 (PBE)

Data for crystalline Sm2ErScTe4 at its relaxed geometry.

Its uncorrected formation energy is -1266.0 meV/atom. For the density of states at the Fermi level, the calculation gives 4.935 states/eV per cell. The total moment comes out at 0.00 μB/atom.

It has space group P2/m (No. 10), with a = 7.475 Å, b = 4.291 Å, c = 7.652 Å, α = 90.00°, β = 108.80° and γ = 90.00°. The asymmetric unit holds Sm at (0.000, 0.000, 0.000), Sm at (0.500, 0.500, 0.000), Er at (0.000, 0.500, 0.500), Sc at (0.500, 0.000, 0.500), Te at (0.250, 0.000, 0.735) and Te at (0.261, 0.500, 0.268).



Entry 10:
## SmEr2ScTe4 (PBE)

Data for crystalline SmEr2ScTe4 at its relaxed geometry.

Its uncorrected formation energy is -1214.0 meV/atom. For the density of states at the Fermi level, the calculation gives 5.219 states/eV per cell. The total moment comes out at 0.00 μB/atom.

It has space group P2/m (No. 10), with a = 7.492 Å, b = 4.272 Å, c = 7.533 Å, α = 90.00°, β = 108.87° and γ = 90.00°. The asymmetric unit holds Sm at (0.000, 0.000, 0.000), Er at (0.500, 0.000, 0.500), Er at (0.500, 0.500, 0.000), Sc at (0.000, 0.500, 0.500), Te at (0.246, 0.000, 0.739) and Te at (0.253, 0.500, 0.261).



Entry 11:
## Sm2Er3ScTe6 (PBE)

Data for crystalline Sm2Er3ScTe6 at its relaxed geometry.

Its uncorrected formation energy is -1246.8 meV/atom. For the density of states at the Fermi level, the calculation gives 14.563 states/eV per cell. The total moment comes out at 0.00 μB/atom.

It has space group C2/m (No. 12), with a = 18.952 Å, b = 4.313 Å, c = 8.719 Å, α = 90.00°, β = 103.18° and γ = 90.00°. The asymmetric unit holds Sm at (0.170, 0.000, 0.336), Er at (0.000, 0.500, 0.500), Er at (0.176, 0.000, 0.838), Sc at (0.000, 0.500, 0.000), Te at (0.005, 0.000, 0.759), Te at (0.159, 0.500, 0.073) and Te at (0.162, 0.500, 0.590).



Entry 12:
## Sm3Er2ScTe6 (PBE)

Data for crystalline Sm3Er2ScTe6 at its relaxed geometry.

Its uncorrected formation energy is -1278.6 meV/atom. For the density of states at the Fermi level, the calculation gives 12.913 states/eV per cell. The total moment comes out at 0.00 μB/atom.

It has space group C2/m (No. 12), with a = 19.081 Å, b = 4.323 Å, c = 8.795 Å, α = 90.00°, β = 104.43° and γ = 90.00°. The asymmetric unit holds Sm at (0.000, 0.000, 0.000), Sm at (0.170, 0.500, 0.337), Er at (0.166, 0.500, 0.832), Sc at (0.000, 0.000, 0.500), Te at (0.001, 0.500, 0.736), Te at (0.160, 0.000, 0.587) and Te at (0.169, 0.000, 0.078).



Entry 13:
## Sm3ErSc2Te6 (PBE)

Data for crystalline Sm3ErSc2Te6 at its relaxed geometry.

Its uncorrected formation energy is -1257.3 meV/atom. For the density of states at the Fermi level, the calculation gives 13.548 states/eV per cell. The total moment comes out at 0.00 μB/atom.

It has space group C2/m (No. 12), with a = 18.961 Å, b = 4.300 Å, c = 8.739 Å, α = 90.00°, β = 104.34° and γ = 90.00°. The asymmetric unit holds Sm at (0.000, 0.000, 0.000), Sm at (0.163, 0.500, 0.329), Er at (0.000, 0.000, 0.500), Sc at (0.167, 0.500, 0.834), Te at (0.007, 0.500, 0.746), Te at (0.166, 0.000, 0.596) and Te at (0.172, 0.000, 0.070).



Entry 14:
## SmEr3ThSc (PBE)

Data for crystalline SmEr3ThSc at its relaxed geometry.

The formation energy from the elements comes out at 23 kJ/mol of formula units. For the density of states at the Fermi level, the calculation gives 18.994 states/eV per cell. The total moment comes out at 0.00 μB/atom.

It has space group P2_1/m (No. 11), with a = 7.811 Å, b = 4.993 Å, c = 9.891 Å, α = 90.00°, β = 108.79° and γ = 90.00°. The asymmetric unit holds Sm at (0.173, 0.250, 0.297), Er at (0.175, 0.750, 0.046), Er at (0.175, 0.750, 0.542), Er at (0.176, 0.250, 0.790), Th at (0.498, 0.750, 0.876) and Sc at (0.500, 0.250, 0.627).



Entry 15:
## Sm3Er6Th2Sc (PBE)

Data for crystalline Sm3Er6Th2Sc at its relaxed geometry.

The formation energy from the elements comes out at 26 kJ/mol of formula units. For the density of states at the Fermi level, the calculation gives 32.168 states/eV per cell. The total moment comes out at 0.00 μB/atom.

It has space group C2/m (No. 12), with a = 6.109 Å, b = 10.576 Å, c = 11.688 Å, α = 90.00°, β = 100.04° and γ = 90.00°. The asymmetric unit holds Sm at (0.000, 0.000, 0.000), Sm at (0.000, 0.334, 0.000), Er at (0.248, 0.000, 0.745), Er at (0.248, 0.333, 0.745), Th at (0.000, 0.167, 0.500) and Sc at (0.000, 0.500, 0.500).



Entry 16:
## SmEr2ThSc4 (PBE)

Data for crystalline SmEr2ThSc4 at its relaxed geometry.

The formation energy from the elements comes out at 18 kJ/mol of formula units. For the density of states at the Fermi level, the calculation gives 11.708 states/eV per cell. The total moment comes out at 0.00 μB/atom.

It has space group P2/m (No. 10), with a = 4.941 Å, b = 4.952 Å, c = 9.147 Å, α = 90.00°, β = 90.01° and γ = 90.00°. The asymmetric unit holds Sm at (0.000, 0.000, 0.000), Er at (0.000, 0.000, 0.500), Er at (0.500, 0.500, 0.000), Th at (0.500, 0.500, 0.500), Sc at (0.002, 0.500, 0.253) and Sc at (0.499, 0.000, 0.747).



Entry 17:
## Sm2ErThSc4 (PBE)

Data for crystalline Sm2ErThSc4 at its relaxed geometry.

The formation energy from the elements comes out at 37 kJ/mol of formula units. For the density of states at the Fermi level, the calculation gives 11.300 states/eV per cell. The total moment comes out at 0.00 μB/atom.

It has space group P4/mmm (No. 123), with a = 4.982 Å, b = 4.982 Å, c = 9.120 Å, α = 90.00°, β = 90.00° and γ = 90.00°. The asymmetric unit holds Sm at (0.000, 0.000, 0.000), Sm at (0.500, 0.500, 0.500), Er at (0.000, 0.000, 0.500), Th at (0.500, 0.500, 0.000) and Sc at (0.000, 0.500, 0.248).



Entry 18:
## Sm2Er5ThSc (PBE)

Data for crystalline Sm2Er5ThSc at its relaxed geometry.

The formation energy from the elements comes out at 149 kJ/mol of formula units. For the density of states at the Fermi level, the calculation gives 48.674 states/eV per cell. The total moment comes out at 0.00 μB/atom.

It has space group Cmc2_1 (No. 36), with a = 5.579 Å, b = 22.421 Å, c = 9.142 Å, α = 90.00°, β = 90.00° and γ = 90.00°. The asymmetric unit holds Sm at (0.000, 0.116, 0.000), Sm at (0.000, 0.139, 0.425), Er at (0.000, 0.002, 0.721), Er at (0.000, 0.267, 0.051), Er at (0.000, 0.299, 0.430), Er at (0.000, 0.388, 0.756), Er at (0.000, 0.477, 0.466), Th at (0.000, 0.398, 0.160) and Sc at (0.000, 0.212, 0.728).



Entry 19:
## Sm2ErScTl2 (PBE)

Data for crystalline Sm2ErScTl2 at its relaxed geometry.

The formation energy from the elements comes out at -147 kJ/mol of formula units. For the density of states at the Fermi level, the calculation gives 14.068 states/eV per cell. The total moment comes out at 0.00 μB/atom.

It has space group Pmc2_1 (No. 26), with a = 4.986 Å, b = 9.920 Å, c = 6.872 Å, α = 90.00°, β = 90.00° and γ = 90.00°. The asymmetric unit holds Sm at (0.000, 0.046, 0.000), Sm at (0.500, 0.189, 0.279), Er at (0.500, 0.456, 0.901), Sc at (0.000, 0.311, 0.613), Tl at (0.000, 0.384, 0.171) and Tl at (0.500, 0.148, 0.740).



Entry 20:
## SmEr2ScTl4 (PBE)

Data for crystalline SmEr2ScTl4 at its relaxed geometry.

The formation energy from the elements comes out at -234 kJ/mol of formula units. For the density of states at the Fermi level, the calculation gives 20.408 states/eV per cell. The total moment comes out at 0.00 μB/atom.

It has space group R-3m (No. 166, hexagonal axes), with a = 5.3042 Å, b = 5.3042 Å, c = 26.1606 Å, α = 90.00°, β = 90.00° and γ = 120.00°. The asymmetric unit holds Sm at (0.0000, 0.0000, 0.0000), Er at (0.0000, 0.0000, 0.2485), Sc at (0.0000, 0.0000, 0.5000), Tl at (0.0000, 0.0000, 0.1273) and Tl at (0.0000, 0.0000, 0.3778).